Here is a relaxed structure of MnAuBr2 from Alexandria. Energies are from PBE.

Results
For the volume, the calculation gives 96.2 Å³ per cell. For the theoretical density, the calculation gives 7.11 g/cm³. The calculation puts the density of states at the Fermi level at 1.50 states/eV/cell. The value obtained for the total magnetic moment is 4.6 μB per formula unit. The space-group type is Pmmm, No. 47. For the distance to the lowest polymorph of the same formula, the calculation gives 0.439 eV per atom. The total DFT energy (no corrections) is -3.77 eV/atom. For the energy relative to the elements, uncorrected, the calculation gives 68 kJ/mol of formula units.

a b c (Å): 3.8548 6.2777 3.9737
angles (deg): 90.00 90.00 90.00
Site moments in Bohr magnetons follow the coordinates.
Positions (direct):
Br 0.5000 0.5000 0.0000  0.01
Br 0.0000 0.0000 0.0000  0.04
Mn 0.5000 0.0000 0.5000  4.22
Au 0.0000 0.5000 0.5000  -0.01